VASP calculation (PBE) on a relaxed structure of Li2LaBr. Values from VASP.

```
&SYSTEM
  ibrav = 0, nat = 4, ntyp = 3
/
ATOMIC_SPECIES
La 138.91 La.upf
Br 79.90 Br.upf
Li 6.94 Li.upf
ATOMIC_POSITIONS crystal
La 0.268 0.768 0.500
Br 0.544 0.544 0.000
Li 0.711 0.211 0.500
Li 0.978 0.978 0.000
CELL_PARAMETERS angstrom
-4.416 0.743 3.886
0.530 -3.718 4.588
2.813 4.394 -2.817
```

Values from the calculation:
E_tot, Ry per atom: -0.2193
Symmetry: Imm2, No. 44
Total moment, Bohr magnetons per cell: 0.00
ΔE_f (raw), kJ/mol of formula units: -145


VASP calculation (PBE) on a relaxed structure of Li2LaBr. Values from VASP.

```
&SYSTEM
  ibrav = 0, nat = 4, ntyp = 3
/
ATOMIC_SPECIES
Br 79.90 Br.upf
Li 6.94 Li.upf
La 138.91 La.upf
ATOMIC_POSITIONS crystal
Br 0.460 0.460 0.534
Li 0.031 0.031 0.887
La 0.225 0.225 0.299
Li 0.784 0.784 0.780
CELL_PARAMETERS angstrom
5.419 0.018 -0.094
4.298 3.301 -0.094
1.584 0.541 5.923
```

Values from the calculation:
E_tot, Ry per atom: -0.2238
Symmetry: Cm, No. 8
Total moment, Bohr magnetons per cell: 0.74
ΔE_f (raw), kJ/mol of formula units: -169


VASP calculation (PBE) on a relaxed structure of Li2LaBr. Values from VASP.

```
&SYSTEM
  ibrav = 0, nat = 4, ntyp = 3
/
ATOMIC_SPECIES
La 138.91 La.upf
Br 79.90 Br.upf
Li 6.94 Li.upf
ATOMIC_POSITIONS crystal
La 0.000 0.500 0.500
Br 0.500 0.000 0.500
Li 0.500 0.500 0.000
Li 0.000 0.000 0.000
CELL_PARAMETERS angstrom
3.568 0.000 0.000
0.000 5.179 0.000
0.000 0.000 5.772
```

Values from the calculation:
E_tot, Ry per atom: -0.2232
Symmetry: Pmmm, No. 47
Total moment, Bohr magnetons per cell: 0.01
ΔE_f (raw), kJ/mol of formula units: -166


VASP calculation (PBE) on a relaxed structure of Li2LaBr. Values from VASP.

```
&SYSTEM
  ibrav = 0, nat = 4, ntyp = 3
/
ATOMIC_SPECIES
Li 6.94 Li.upf
La 138.91 La.upf
Br 79.90 Br.upf
ATOMIC_POSITIONS crystal
Li 0.250 0.750 0.500
La 0.750 0.250 0.500
Br 0.500 0.500 0.000
Li 0.000 0.000 0.000
CELL_PARAMETERS angstrom
5.746 -0.012 0.000
1.862 5.436 0.000
-3.804 -2.712 3.346
```

Values from the calculation:
E_tot, Ry per atom: -0.2120
Symmetry: I-4m2, No. 119
Total moment, Bohr magnetons per cell: 0.00
ΔE_f (raw), kJ/mol of formula units: -107


VASP calculation (PBE) on a relaxed structure of Li3LaBr6. Values from VASP.

```
&SYSTEM
  ibrav = 0, nat = 10, ntyp = 3
/
ATOMIC_SPECIES
Br 79.90 Br.upf
Li 6.94 Li.upf
La 138.91 La.upf
ATOMIC_POSITIONS crystal
Br 0.000 0.333 0.082
Br 0.500 0.642 0.358
Li 0.500 0.500 0.000
La 0.000 0.500 0.500
Br 0.000 0.082 0.333
Br 0.500 0.358 0.642
Br 0.000 0.667 0.918
Li 0.500 0.000 0.500
Br 0.000 0.918 0.667
Li 0.000 0.000 0.000
CELL_PARAMETERS angstrom
4.674 0.000 0.000
0.000 8.293 -0.372
0.000 -2.961 7.756
```

Values from the calculation:
E_tot, Ry per atom: -0.2702
Symmetry: Cmmm, No. 65
Total moment, Bohr magnetons per cell: 0.00
ΔE_f (raw), kJ/mol of formula units: -1550
Excess energy over the best structure of this formula in the dataset, meV/atom: 33


VASP calculation (PBE) on a relaxed structure of LiLaBr. Values from VASP.

```
&SYSTEM
  ibrav = 0, nat = 3, ntyp = 3
/
ATOMIC_SPECIES
Br 79.90 Br.upf
La 138.91 La.upf
Li 6.94 Li.upf
ATOMIC_POSITIONS crystal
Br 0.000 0.000 0.000
La 0.500 0.500 0.500
Li 0.750 0.750 0.750
CELL_PARAMETERS angstrom
-1.191 4.041 -2.285
-3.139 -0.129 -3.619
-4.379 1.867 0.557
```

Values from the calculation:
E_tot, Ry per atom: -0.2190
Symmetry: F-43m, No. 216
Total moment, Bohr magnetons per cell: 0.01
ΔE_f (raw), kJ/mol of formula units: -41
Excess energy over the best structure of this formula in the dataset, meV/atom: 612


> Which of these has the highest E_tot?

number 4